Entry 1:
Below is crystalline SrHg2Te2 at its relaxed geometry, with properties calculated at the PBE-GGA level.

Structure (CIF):
```
data_SrHg2Te2
_chemical_formula_sum 'Sr2 Hg4 Te4'
_space_group_name_H-M_alt 'I 4/m m m'
_space_group_IT_number 139
_space_group_name_Hall '-I 4 2'
_cell_length_a 4.410
_cell_length_b 4.410
_cell_length_c 17.220
_cell_angle_alpha 90.00
_cell_angle_beta 90.00
_cell_angle_gamma 90.00
loop_
_atom_site_label
_atom_site_type_symbol
_atom_site_fract_x
_atom_site_fract_y
_atom_site_fract_z
Sr1 Sr 0.000 0.000 0.000
Hg1 Hg 0.000 0.500 0.250
Te1 Te 0.000 0.000 0.414
```

Computed properties:
Formation energy without anion corrections   -0.6121 eV/atom
VASP energy   -2.3258 eV/atom
Offset from the most stable computed form   0.0 meV per atom
N(E_F)   0.140 states/eV per atom

=====

Entry 2:
Below is crystalline Cs3Pr2YTe6 at its relaxed geometry, with properties calculated at the PBE-GGA level.

Structure (CIF):
```
data_Cs3Pr2YTe6
_chemical_formula_sum 'Cs6 Pr4 Y2 Te12'
_space_group_name_H-M_alt 'C 1 2/m 1'
_space_group_IT_number 12
_space_group_name_Hall '-C 2y'
_cell_length_a 8.069
_cell_length_b 13.976
_cell_length_c 9.340
_cell_angle_alpha 90.00
_cell_angle_beta 106.75
_cell_angle_gamma 90.00
loop_
_atom_site_label
_atom_site_type_symbol
_atom_site_fract_x
_atom_site_fract_y
_atom_site_fract_z
Cs1 Cs 0.000 0.000 0.000
Cs2 Cs 0.000 0.331 0.000
Pr1 Pr 0.000 0.166 0.500
Y1 Y 0.000 0.500 0.500
Te1 Te 0.227 0.338 0.694
Te2 Te 0.240 0.000 0.695
```

Computed properties:
Formation energy without anion corrections   -1.4111 eV/atom
VASP energy   -4.5306 eV/atom

=====

Entry 3:
Below is crystalline BeInCu at its relaxed geometry, with properties calculated at the PBE-GGA level.

Structure (CIF):
```
data_BeInCu
_chemical_formula_sum 'Be1 In1 Cu1'
_space_group_name_H-M_alt 'P 3 m 1'
_space_group_IT_number 156
_space_group_name_Hall 'P 3 -2"'
_cell_length_a 3.0002
_cell_length_b 3.0002
_cell_length_c 6.0148
_cell_angle_alpha 90.00
_cell_angle_beta 90.00
_cell_angle_gamma 120.00
loop_
_atom_site_label
_atom_site_type_symbol
_atom_site_fract_x
_atom_site_fract_y
_atom_site_fract_z
Be1 Be 0.0000 0.0000 0.0000
In1 In 0.6667 0.3333 0.6388
Cu1 Cu 0.3333 0.6667 0.2562
```

Computed properties:
VASP energy   -3.1338 eV/atom
Offset from the most stable computed form   132.5 meV per atom
N(E_F)   0.230 states/eV per atom
Formation energy from the elements   0.386 eV/atom

=====

Entry 4:
Below is crystalline LiScAlSn at its relaxed geometry, with properties calculated at the PBE-GGA level.

Structure (CIF):
```
data_LiScAlSn
_chemical_formula_sum 'Li1 Sc1 Al1 Sn1'
_space_group_name_H-M_alt 'P m m m'
_space_group_IT_number 47
_space_group_name_Hall '-P 2 2'
_cell_length_a 4.211
_cell_length_b 4.263
_cell_length_c 4.281
_cell_angle_alpha 90.00
_cell_angle_beta 90.00
_cell_angle_gamma 90.00
loop_
_atom_site_label
_atom_site_type_symbol
_atom_site_fract_x
_atom_site_fract_y
_atom_site_fract_z
Li1 Li 0.000 0.000 0.000
Sc1 Sc 0.000 0.500 0.500
Al1 Al 0.500 0.000 0.500
Sn1 Sn 0.500 0.500 0.000
```

Computed properties:
VASP energy   -4.4421 eV/atom
Offset from the most stable computed form   0.0 meV per atom
N(E_F)   0.347 states/eV per atom
Formation energy from the elements   -0.444 eV/atom

=====

Entry 5:
Below is crystalline DyGa4Cu2Os at its relaxed geometry, with properties calculated at the PBE-GGA level.

Structure (CIF):
```
data_DyGa4Cu2Os
_chemical_formula_sum 'Dy3 Ga12 Cu6 Os3'
_space_group_name_H-M_alt 'R -3 m'
_space_group_IT_number 166
_space_group_name_Hall '-R 3 2"'
_cell_length_a 4.1781
_cell_length_b 4.1781
_cell_length_c 26.6777
_cell_angle_alpha 90.00
_cell_angle_beta 90.00
_cell_angle_gamma 120.00
loop_
_atom_site_label
_atom_site_type_symbol
_atom_site_fract_x
_atom_site_fract_y
_atom_site_fract_z
Dy1 Dy 0.0000 0.0000 0.0000
Ga1 Ga 0.0000 0.0000 0.1306
Ga2 Ga 0.0000 0.0000 0.4001
Cu1 Cu 0.0000 0.0000 0.2350
Os1 Os 0.0000 0.0000 0.5000
```

Computed properties:
VASP energy   -4.7074 eV/atom
N(E_F)   0.410 states/eV per atom
Formation energy from the elements   -0.191 eV/atom

=====

Entry 6:
Below is crystalline SiOs2Br at its relaxed geometry, with properties calculated at the PBE-GGA level.

Structure (CIF):
```
data_SiOs2Br
_chemical_formula_sum 'Si2 Os4 Br2'
_space_group_name_H-M_alt 'I -4 m 2'
_space_group_IT_number 119
_space_group_name_Hall 'I -4 -2'
_cell_length_a 3.737
_cell_length_b 3.737
_cell_length_c 8.737
_cell_angle_alpha 90.00
_cell_angle_beta 90.00
_cell_angle_gamma 90.00
loop_
_atom_site_label
_atom_site_type_symbol
_atom_site_fract_x
_atom_site_fract_y
_atom_site_fract_z
Si1 Si 0.000 0.000 0.000
Os1 Os 0.000 0.000 0.500
Os2 Os 0.000 0.500 0.250
Br1 Br 0.000 0.500 0.750
```

Computed properties:
Formation energy without anion corrections   1.2125 eV/atom
VASP energy   -6.1764 eV/atom
Offset from the most stable computed form   745.7 meV per atom
N(E_F)   0.875 states/eV per atom

=====

no.,size of the total moment (μB per cell),volume (Å³/cell)
1,0.00,335.0
2,0.00,1008.6
3,0.00,46.9
4,0.00,76.8
5,0.00,403.3
6,0.00,122.0